--- one ---
First-principles (PBE) data for a relaxed structure of CeU2Se4, as listed in the Alexandria database.

Structure (extended XYZ):
```
14
Lattice="-4.374 4.374 4.368 4.374 -4.374 4.368 4.374 4.374 -4.368" Properties=species:S:1:pos:R:3 pbc="T T T"
Ce 0.000 0.000 0.000
Ce 0.000 4.374 2.184
U 2.187 3.266 -1.092
U 5.482 2.187 1.092
U 2.187 1.108 3.276
U -1.108 2.187 5.459
Se 2.876 0.684 0.457
Se 5.058 2.876 -1.727
Se 3.690 -1.498 3.911
Se -0.684 1.498 2.640
Se 0.684 5.872 -0.457
Se 2.876 3.690 1.727
Se 1.498 0.684 6.095
Se 1.498 3.690 4.824
```

---

--- two ---
First-principles (PBE) data for a relaxed structure of CeU2Se4, as listed in the Alexandria database.

Structure (extended XYZ):
```
14
Lattice="2.009 -6.743 0.000 2.009 6.743 0.000 0.000 0.000 13.869" Properties=species:S:1:pos:R:3 pbc="T T T"
Ce 2.009 5.228 10.401
Ce 2.009 -5.228 3.467
U 2.009 1.846 7.799
U 2.009 1.846 13.004
U 2.009 -1.846 0.865
U 2.009 -1.846 6.069
Se 0.000 0.000 0.000
Se 0.000 0.000 6.934
Se 2.009 3.029 1.766
Se 2.009 3.029 5.168
Se 2.009 0.665 10.401
Se 2.009 -0.665 3.467
Se 2.009 -3.029 8.700
Se 2.009 -3.029 12.103
```

---

Most stable to least stable, the ends of the list are one and two.

---

--- one ---
First-principles (PBE) data for a relaxed structure of CeUSe2, as listed in the Alexandria database.

Structure (extended XYZ):
```
4
Lattice="3.550 -2.054 0.000 3.550 2.054 0.000 -2.379 0.000 6.820" Properties=species:S:1:pos:R:3 pbc="T T T"
Ce 0.000 0.000 0.000
U 2.360 0.000 3.410
Se -0.010 0.000 5.062
Se 4.731 0.000 1.758
```

---

--- two ---
First-principles (PBE) data for a relaxed structure of CeUSe2, as listed in the Alexandria database.

Structure (extended XYZ):
```
4
Lattice="0.000 3.597 3.597 3.597 0.000 3.597 3.597 3.597 0.000" Properties=species:S:1:pos:R:3 pbc="T T T"
Ce 0.000 0.000 0.000
U 3.597 3.597 3.597
Se 1.799 1.799 1.799
Se 5.396 5.396 5.396
```

---

Most stable to least stable, the ends of the list are one and two.

---

--- one ---
First-principles (PBE) data for a relaxed structure of CeUSe2, as listed in the Alexandria database.

Structure (extended XYZ):
```
4
Lattice="1.974 1.140 7.514 -1.974 1.140 7.514 0.000 -2.280 7.514" Properties=species:S:1:pos:R:3 pbc="T T T"
Ce 0.000 0.000 0.000
U 0.000 0.000 3.909
Se 0.000 0.000 9.498
Se 0.000 0.000 13.201
```

---

--- two ---
First-principles (PBE) data for a relaxed structure of CeUSe2, as listed in the Alexandria database.

Structure (extended XYZ):
```
8
Lattice="7.727 0.000 0.000 0.000 3.906 0.000 0.000 0.000 6.826" Properties=species:S:1:pos:R:3 pbc="T T T"
Ce 0.000 0.000 0.000
Ce 3.864 0.000 0.000
U 0.000 1.953 3.413
U 3.864 1.953 3.413
Se 1.932 0.000 2.315
Se 1.932 1.953 5.624
Se 5.796 0.000 4.510
Se 5.796 1.953 1.201
```

---

Most stable to least stable, the ends of the list are one and two.

---

--- one ---
First-principles (PBE) data for a relaxed structure of CeUSe3, as listed in the Alexandria database.

Structure (extended XYZ):
```
10
Lattice="3.430 -8.464 0.000 3.430 8.464 0.000 0.000 0.000 5.437" Properties=species:S:1:pos:R:3 pbc="T T T"
Ce 3.430 5.265 0.000
Ce 3.430 -5.265 0.000
U 3.430 1.993 2.719
U 3.430 -1.993 2.719
Se 1.715 4.232 2.719
Se 1.567 0.000 2.719
Se 3.430 2.368 0.000
Se 1.715 -4.232 2.719
Se 3.430 -2.368 0.000
Se 5.293 0.000 2.719
```

---

--- two ---
First-principles (PBE) data for a relaxed structure of CeUSe3, as listed in the Alexandria database.

Structure (extended XYZ):
```
20
Lattice="7.749 0.000 0.000 0.000 4.135 0.000 0.000 0.000 15.945" Properties=species:S:1:pos:R:3 pbc="T T T"
Ce 0.879 1.034 3.275
Ce 2.996 3.101 11.247
Ce 4.753 1.034 4.698
Ce 6.870 3.101 12.670
U 1.829 3.101 7.326
U 2.046 1.034 15.298
U 5.703 3.101 0.646
U 5.920 1.034 8.619
Se 0.041 1.034 6.316
Se 0.961 3.101 1.067
Se 1.289 1.034 12.447
Se 2.586 3.101 4.475
Se 2.913 1.034 9.040
Se 3.833 3.101 14.288
Se 3.915 1.034 1.657
Se 4.835 3.101 6.905
Se 5.163 1.034 11.470
Se 6.460 3.101 3.498
Se 6.788 1.034 14.877
Se 7.708 3.101 9.629
```

---

Most stable to least stable, the ends of the list are two and one.

---

--- one ---
First-principles (PBE) data for a relaxed structure of Ce2YSe3, as listed in the Alexandria database.

Structure (extended XYZ):
```
6
Lattice="-2.068 2.946 6.282 2.068 -2.946 6.282 2.068 2.946 -6.282" Properties=species:S:1:pos:R:3 pbc="T T T"
Ce 0.000 0.000 2.114
Ce 0.000 0.000 10.450
Y 0.000 0.000 6.282
Se 2.068 0.000 0.000
Se 2.068 0.000 4.259
Se 0.000 2.946 2.022
```

---

--- two ---
First-principles (PBE) data for a relaxed structure of Ce2YSe3, as listed in the Alexandria database.

Structure (extended XYZ):
```
12
Lattice="4.098 0.000 0.000 -2.049 3.549 0.000 0.000 0.000 21.145" Properties=species:S:1:pos:R:3 pbc="T T T"
Ce 0.000 2.366 1.754
Ce 0.000 2.366 8.819
Ce 2.049 1.183 12.326
Ce 2.049 1.183 19.391
Y 0.000 0.000 5.286
Y 0.000 0.000 15.859
Se 0.000 0.000 0.000
Se 0.000 0.000 10.572
Se 0.000 2.366 14.134
Se 0.000 2.366 17.583
Se 2.049 1.183 3.562
Se 2.049 1.183 7.010
```

---

Most stable to least stable, the ends of the list are one and two.

---

--- one ---
First-principles (PBE) data for a relaxed structure of Ce2YSe4, as listed in the Alexandria database.

Structure (extended XYZ):
```
14
Lattice="2.011 -6.976 0.000 2.011 6.976 0.000 0.000 0.000 14.075" Properties=species:S:1:pos:R:3 pbc="T T T"
Ce 2.011 5.118 8.031
Ce 2.011 5.118 13.082
Ce 2.011 -5.118 0.993
Ce 2.011 -5.118 6.044
Y 2.011 1.737 10.556
Y 2.011 -1.737 3.519
Se 2.011 6.637 10.556
Se 2.011 3.915 1.778
Se 2.011 3.915 5.260
Se 2.011 0.000 0.000
Se 2.011 0.000 7.038
Se 2.011 -3.915 8.816
Se 2.011 -3.915 12.297
Se 2.011 -6.637 3.519
```

---

--- two ---
First-principles (PBE) data for a relaxed structure of Ce2YSe4, as listed in the Alexandria database.

Structure (extended XYZ):
```
14
Lattice="-4.140 4.202 5.821 4.140 -4.202 5.821 4.140 4.202 -5.821" Properties=species:S:1:pos:R:3 pbc="T T T"
Ce 0.000 0.000 0.000
Ce -2.070 2.101 2.910
Ce 0.000 4.202 0.000
Ce 2.070 2.101 2.910
Y 2.070 2.101 -2.910
Y 2.070 -2.101 2.910
Se 4.140 -0.059 2.834
Se 2.057 2.101 -0.041
Se 2.083 -2.101 5.779
Se 4.140 4.143 -2.834
Se 0.000 0.059 8.655
Se 2.057 6.303 0.041
Se 2.083 2.101 5.862
Se 0.000 4.261 2.986
```

---

Most stable to least stable, the ends of the list are two and one.

---

--- one ---
First-principles (PBE) data for a relaxed structure of Ce2ZnSe, as listed in the Alexandria database.

Structure (extended XYZ):
```
4
Lattice="1.889 1.090 10.149 -1.889 1.090 10.149 0.000 -2.181 10.149" Properties=species:S:1:pos:R:3 pbc="T T T"
Ce 0.000 0.000 3.166
Ce 0.000 0.000 27.283
Zn 0.000 0.000 0.000
Se 0.000 0.000 15.224
```

---

--- two ---
First-principles (PBE) data for a relaxed structure of Ce2ZnSe, as listed in the Alexandria database.

Structure (extended XYZ):
```
4
Lattice="3.578 0.000 0.000 0.000 3.578 0.000 0.000 0.000 7.497" Properties=species:S:1:pos:R:3 pbc="T T T"
Ce 0.000 0.000 1.809
Ce 0.000 0.000 5.688
Zn 1.789 1.789 3.749
Se 1.789 1.789 0.000
```

---

Most stable to least stable, the ends of the list are two and one.

---

--- one ---
First-principles (PBE) data for a relaxed structure of Ce3ZrSe6, as listed in the Alexandria database.

Structure (extended XYZ):
```
20
Lattice="6.935 0.000 0.000 0.000 7.725 0.000 -6.461 0.000 10.264" Properties=species:S:1:pos:R:3 pbc="T T T"
Ce 0.000 0.000 0.000
Ce -3.230 3.863 5.132
Ce -2.769 0.879 7.776
Ce 0.462 2.984 2.644
Ce 0.013 4.742 7.620
Ce 3.243 6.846 2.488
Zr 0.237 0.000 5.132
Zr 3.468 3.863 0.000
Se -0.955 0.378 2.703
Se -4.185 3.484 7.835
Se 1.242 5.206 0.759
Se -1.988 6.383 5.891
Se 2.406 1.449 0.711
Se -0.824 2.413 5.843
Se 1.299 5.312 4.420
Se -1.932 6.276 9.552
Se 2.463 1.343 4.372
Se -0.767 2.520 9.504
Se 4.660 4.241 2.429
Se 1.429 7.347 7.560
```

---

--- two ---
First-principles (PBE) data for a relaxed structure of Ce3ZrSe6, as listed in the Alexandria database.

Structure (extended XYZ):
```
20
Lattice="6.329 3.654 4.044 -6.329 3.654 4.044 0.000 -7.308 4.044" Properties=species:S:1:pos:R:3 pbc="T T T"
Ce -3.114 -3.088 6.267
Ce -4.231 1.153 5.865
Ce 1.117 -4.241 5.865
Ce -1.117 4.241 6.267
Ce 4.231 -1.153 6.267
Ce 3.114 3.088 5.865
Zr 0.000 0.000 0.000
Zr 0.000 0.000 6.066
Se -5.447 -1.393 6.801
Se -1.517 -5.414 5.331
Se -2.203 -0.561 4.628
Se -3.930 4.021 5.331
Se 1.588 -1.627 4.628
Se -0.615 -2.188 7.504
Se 0.615 2.188 4.628
Se -1.588 1.627 7.504
Se 3.930 -4.021 6.801
Se 2.203 0.561 7.504
Se 1.517 5.414 6.801
Se 5.447 1.393 5.331
```

---

Most stable to least stable, the ends of the list are two and one.